Entry 1:
MgAlHg: relaxed, PBE-GGA.

a b c (Å): 4.7849 4.7849 3.1063
angles (deg): 90.00 90.00 120.00
With the nearest neighbours (Å) after each atom.
Fractional positions:
Al (0.0000, 0.0000, 0.1660)  3 Hg 2.76
Hg (0.6667, 0.3333, 0.1670)  3 Al 2.76
Mg (0.3333, 0.6667, 0.6670)  2 Mg 3.11, 6 Al 3.17, 6 Hg 3.17

Properties
Total magnetization: 0.00 μB per cell
Mass density: 6.79 Mg/m³
ΔH_f (0 K): -0.032 eV/atom

Entry 2:
BeMo2Br: relaxed, PBE-GGA.

a b c (Å): 5.1237 5.1237 5.1237
angles (deg): 136.74 136.74 62.84
With the nearest neighbours (Å) after each atom.
Fractional positions:
Be (0.2500, 0.7500, 0.5000)  4 Br 2.67, 8 Mo 2.89
Mo (0.0000, 0.0000, 0.0000)  4 Mo 2.67, 4 Br 2.89, 4 Be 2.89
Mo (0.5000, 0.5000, 0.0000)  4 Mo 2.67, 4 Be 2.89, 4 Br 2.89
Br (0.7500, 0.2500, 0.5000)  4 Be 2.67, 8 Mo 2.89

Properties
E_form (uncorrected): 1.076 eV/atom
Total magnetization: 0.00 μB per cell
Mass density: 7.47 Mg/m³

Entry 3:
NbReH2: relaxed, PBE-GGA.

a b c (Å): 4.2546 4.2546 5.2876
angles (deg): 66.28 66.28 90.00
With the nearest neighbours (Å) after each atom.
Fractional positions:
Re (0.0000, 0.0000, 0.0000)  4 H 1.81
Re (0.7500, 0.2500, 0.5000)  4 H 1.81
Nb (0.5000, 0.5000, 0.0000)  4 H 1.91
Nb (0.2500, 0.7500, 0.5000)  4 H 1.91
H (0.6464, 0.1250, 0.2500)  2 Re 1.81, 2 Nb 1.91
H (0.1036, 0.6250, 0.2500)  2 Re 1.81, 2 Nb 1.91
H (0.3750, 0.3536, 0.7500)  2 Re 1.81, 2 Nb 1.91
H (0.8750, 0.8964, 0.7500)  2 Re 1.81, 2 Nb 1.91

Properties
Total magnetization: 0.00 μB per cell
Mass density: 11.86 Mg/m³
DFT total energy: -7.23 eV per atom